Entry 1:
The following is a PBE calculation of a geometry-optimized Cs2PdBrCl6 structure, from the Alexandria database.

Geometry as POSCAR:
```
Cs2PdBrCl6
1.0
-3.682 -2.077 6.029
6.364 -1.654 3.317
1.667 3.499 6.721
Cs Cl Br Pd
2 6 1 1
Cartesian
4.686 -0.010 7.355
-0.337 -0.222 8.712
0.624 -0.868 2.175
2.057 -2.863 7.171
2.815 -1.537 10.184
4.026 -1.752 3.948
-1.345 -1.979 5.398
1.534 1.305 5.883
1.341 -1.866 4.673
0.000 0.000 0.000
```

ΔE_f (raw): -996 meV per atom
DFT total energy: -2.96 eV/atom
SG: I4/mmm (139)

***

Entry 2:
The following is a PBE calculation of a geometry-optimized K2Na5In4 structure, from the Alexandria database.

Geometry as POSCAR:
```
K2Na5In4
1.0
-3.123 2.238 -5.764
-7.276 -5.054 -2.183
-4.192 6.209 0.520
Na In K
5 4 2
Cartesian
-5.241 4.339 -1.644
-7.732 -2.105 -2.797
-5.734 0.578 -0.831
-6.858 5.499 -4.629
-9.350 -0.946 -5.783
-2.845 1.173 -2.165
-4.273 -1.614 -2.474
-11.745 2.221 -5.261
-10.317 5.007 -4.952
-9.158 1.358 -2.836
-5.433 2.036 -4.591
```

ΔE_f: -0.46 eV/f.u.
DFT total energy: -1.84 eV/atom
SG: C2/m (12)

***

Entry 3:
The following is a PBE calculation of a geometry-optimized PmDy8Ho2 structure, from the Alexandria database.

Geometry as POSCAR:
```
PmDy8Ho2
1.0
-3.034 2.110 -4.076
6.713 1.179 -4.387
-2.631 -8.886 1.073
Dy Pm Ho
8 1 2
Cartesian
4.733 0.831 -3.093
-0.259 -2.366 -1.032
0.233 -0.612 -4.203
-1.958 -5.473 -1.375
3.005 -0.125 -6.015
1.306 -3.232 -6.358
-3.686 -6.429 -4.297
0.814 -4.986 -3.187
-1.517 1.055 -2.038
-1.993 -3.294 -3.935
3.040 -2.304 -3.455
```

offset from the most stable computed form: 0 meV/atom
ΔE_f: 1.26 eV/f.u.
DFT total energy: -4.50 eV/atom
SG: Immm (71)

***

Entry 4:
The following is a PBE calculation of a geometry-optimized AcPm2Tl3 structure, from the Alexandria database.

Geometry as POSCAR:
```
AcPm2Tl3
1.0
3.932 0.000 0.000
0.000 3.932 0.000
0.000 0.000 12.087
Pm Tl Ac
2 3 1
Cartesian
1.966 1.966 1.920
1.966 1.966 10.167
0.000 0.000 8.287
0.000 0.000 0.000
0.000 0.000 3.800
1.966 1.966 6.043
```

ΔE_f: -2.23 eV/f.u.
DFT total energy: -3.82 eV/atom
SG: P4/mmm (123)

***

Entry 5:
The following is a PBE calculation of a geometry-optimized KOsRh2 structure, from the Alexandria database.

Geometry as POSCAR:
```
KOsRh2
1.0
5.013 0.011 0.000
1.751 4.697 0.000
-3.382 -2.354 2.855
Rh Os K
2 1 1
Cartesian
0.875 2.348 1.427
0.000 0.000 0.000
2.506 0.006 1.427
3.382 2.354 0.000
```

offset from the most stable computed form: 870 meV/atom
ΔE_f: 5.23 eV/f.u.
DFT total energy: -5.45 eV/atom
SG: I-4m2 (119)

***

Entry 6:
The following is a PBE calculation of a geometry-optimized Cs3AgF4 structure, from the Alexandria database.

Geometry as POSCAR:
```
Cs3AgF4
1.0
6.335 0.000 0.000
-2.112 5.973 0.000
-2.112 -2.986 5.173
F Cs Ag
4 3 1
Cartesian
-1.314 -1.858 3.218
-1.314 3.715 0.000
3.941 0.000 0.000
0.798 1.129 1.955
2.112 2.986 0.000
-2.112 1.493 2.586
2.112 -1.493 2.586
0.000 0.000 0.000
```

offset from the most stable computed form: 80 meV/atom
ΔE_f (raw): -2146 meV per atom
DFT total energy: -3.76 eV/atom
SG: I-43m (217)